Here is CaW2Se after structural relaxation from Alexandria via LeMat-Bulk. Energies are from PBE.

Values from the calculation:
Total DFT energy (no corrections) (eV/atom): -7.2351
Raw formation energy (eV per atom): 0.613
SG: F-43m, No. 216
V (Å³ per cell): 73.1

a = 4.694 Å, b = 4.694 Å, c = 4.694 Å
α = 120.03°, β = 120.03°, γ = 89.95°
Fractional positions:
Se  0.750  0.250  0.500
W  0.250  0.750  0.500
W  0.000  0.000  0.000
Ca  0.500  0.500  0.000